Be6ZnAu12 after structural relaxation. Source: the Alexandria database, functional PBE-GGA.

Unit cell a=7.197 b=7.197 c=7.197 alpha=109.47 beta=109.47 gamma=109.47
Atoms (fractional coordinates):
Au: 0.298 0.473 0.176
Au: 0.824 0.702 0.527
Au: 0.527 0.824 0.702
Au: 0.176 0.298 0.473
Au: 0.122 0.824 0.298
Au: 0.298 0.122 0.824
Au: 0.878 0.176 0.702
Au: 0.824 0.298 0.122
Au: 0.176 0.702 0.878
Au: 0.473 0.176 0.298
Au: 0.702 0.527 0.824
Au: 0.702 0.878 0.176
Be: 0.369 0.500 0.869
Be: 0.631 0.500 0.131
Be: 0.500 0.131 0.631
Be: 0.500 0.869 0.369
Be: 0.869 0.369 0.500
Be: 0.131 0.631 0.500
Zn: 0.000 0.000 0.000

Values from the calculation:
**DOS(E_F)**: 0.35 states/eV/atom
**DFT formation energy**: -65.6 meV per atom



BeZn2Au after structural relaxation. Source: the Alexandria database, functional PBE-GGA.

Unit cell a=4.236 b=4.671 c=6.499 alpha=108.34 beta=109.20 gamma=89.96
Atoms (fractional coordinates):
Be: 0.115 0.694 0.271
Be: 0.526 0.815 0.085
Zn: 0.994 0.082 0.026
Zn: 0.905 0.513 0.828
Zn: 0.228 0.305 0.495
Zn: 0.729 0.986 0.500
Au: 0.343 0.889 0.725
Au: 0.597 0.403 0.234

Values from the calculation:
**DOS(E_F)**: 0.22 states/eV/atom
**DFT formation energy**: -56.4 meV per atom



Be4ZnAu5 after structural relaxation. Source: the Alexandria database, functional PBE-GGA.

Unit cell a=3.001 b=3.001 c=15.200 alpha=90.00 beta=90.00 gamma=90.00
Atoms (fractional coordinates):
Au: 0.500 0.500 0.691
Au: 0.500 0.500 0.881
Au: 0.500 0.500 0.309
Au: 0.500 0.500 0.119
Au: 0.500 0.500 0.500
Zn: 0.000 0.000 0.000
Be: 0.000 0.000 0.405
Be: 0.000 0.000 0.595
Be: 0.000 0.000 0.212
Be: 0.000 0.000 0.788

Values from the calculation:
**DOS(E_F)**: 0.21 states/eV/atom
**DFT formation energy**: -136.5 meV per atom



Be3ZnAu4 after structural relaxation. Source: the Alexandria database, functional PBE-GGA.

Unit cell a=4.231 b=4.231 c=7.610 alpha=73.86 beta=73.86 gamma=60.00
Atoms (fractional coordinates):
Be: 0.500 0.500 0.500
Be: 0.751 0.751 0.746
Be: 0.249 0.249 0.254
Au: 0.616 0.616 0.153
Au: 0.384 0.384 0.847
Au: 0.130 0.130 0.610
Au: 0.870 0.870 0.390
Zn: 0.000 0.000 0.000

Values from the calculation:
**DOS(E_F)**: 0.29 states/eV/atom
**DFT formation energy**: -111.7 meV per atom



Be2Zn3Au8 after structural relaxation. Source: the Alexandria database, functional PBE-GGA.

Unit cell a=4.119 b=7.826 c=7.875 alpha=119.79 beta=90.00 gamma=90.00
Atoms (fractional coordinates):
Zn: 0.000 0.281 0.000
Zn: 0.500 0.000 0.000
Zn: 0.000 0.719 0.000
Au: 0.000 0.652 0.304
Au: 0.000 0.136 0.272
Au: 0.500 0.606 0.721
Au: 0.000 0.864 0.728
Au: 0.000 0.348 0.696
Au: 0.500 0.115 0.721
Au: 0.500 0.885 0.279
Au: 0.500 0.394 0.279
Be: 0.500 0.246 0.492
Be: 0.500 0.754 0.508

Values from the calculation:
**DOS(E_F)**: 0.27 states/eV/atom
**DFT formation energy**: -122.6 meV per atom



BeZnAu2 after structural relaxation. Source: the Alexandria database, functional PBE-GGA.

Unit cell a=2.971 b=2.971 c=6.644 alpha=90.00 beta=90.00 gamma=90.00
Atoms (fractional coordinates):
Au: 0.000 0.000 0.218
Au: 0.000 0.000 0.782
Zn: 0.500 0.500 0.500
Be: 0.500 0.500 0.000

Values from the calculation:
**DOS(E_F)**: 0.44 states/eV/atom
**Relative energy among the computed polymorphs**: 0.0000 eV per atom
**DFT formation energy**: -157.4 meV per atom



BeZn2Au after structural relaxation. Source: the Alexandria database, functional PBE-GGA.

Unit cell a=4.638 b=4.638 c=2.844 alpha=90.00 beta=90.00 gamma=110.67
Atoms (fractional coordinates):
Zn: 0.500 0.500 0.000
Zn: 0.000 0.000 0.000
Au: 0.500 0.000 0.500
Be: 0.000 0.500 0.500

Values from the calculation:
**DOS(E_F)**: 0.16 states/eV/atom
**DFT formation energy**: 67.2 meV per atom



BeZn2Au after structural relaxation. Source: the Alexandria database, functional PBE-GGA.

Unit cell a=4.113 b=2.760 c=5.166 alpha=73.41 beta=90.00 gamma=90.00
Atoms (fractional coordinates):
Zn: 0.000 0.592 0.524
Zn: 0.000 0.908 0.976
Be: 0.500 0.750 0.750
Au: 0.500 0.250 0.250

Values from the calculation:
**DOS(E_F)**: 0.22 states/eV/atom
**DFT formation energy**: 57.5 meV per atom



Repeat the second record exactly.
BeZn2Au after structural relaxation. Source: the Alexandria database, functional PBE-GGA.

Unit cell a=4.236 b=4.671 c=6.499 alpha=108.34 beta=109.20 gamma=89.96
Atoms (fractional coordinates):
Be: 0.115 0.694 0.271
Be: 0.526 0.815 0.085
Zn: 0.994 0.082 0.026
Zn: 0.905 0.513 0.828
Zn: 0.228 0.305 0.495
Zn: 0.729 0.986 0.500
Au: 0.343 0.889 0.725
Au: 0.597 0.403 0.234

Values from the calculation:
**DOS(E_F)**: 0.22 states/eV/atom
**DFT formation energy**: -56.4 meV per atom